Entry from the Alexandria database: a relaxed TaGa2PbF crystal (GGA-PBE).

Cell lengths 5.586, 5.592, 5.586 Å; angles 90.00, 90.00, 90.00 degrees
Sites, in units of the cell vectors:
1 Ga 0.000 0.000 0.500
2 Ta 0.000 0.500 0.000
3 F 0.500 0.500 0.500
4 Pb 0.000 0.000 0.000
5 Ga 0.500 0.000 0.000

Calculated density (g/cm³): 5.203
Electronic total energy (eV/cell): -18.0
Calculated volume (Å³ per cell): 174
Formation energy from raw total energies (meV/atom): 1098